No. 1
# NaSrO2F, optimized geometry, DFT PBE
data_NaSrO2F
_chemical_formula_sum 'Na1 Sr1 O2 F1'
_cell_length_a 4.1931
_cell_length_b 4.1931
_cell_length_c 4.2322
_cell_angle_alpha 90.00
_cell_angle_beta 90.00
_cell_angle_gamma 90.00
_space_group_name_H-M_alt 'P 4/m m m'
_space_group_IT_number 123
_space_group_name_Hall '-P 4 2'
loop_
_atom_site_label
_atom_site_type_symbol
_atom_site_fract_x
_atom_site_fract_y
_atom_site_fract_z
Na1 Na 0.0000 0.0000 0.0000
Sr1 Sr 0.5000 0.5000 0.5000
O1 O 0.0000 0.5000 0.0000
F1 F 0.0000 0.0000 0.5000
# total DFT energy (no corrections) = -4.5450 eV/atom
# DOS(E_F) = 3.0 states/eV per cell
# total magnetization = 2.0 μB/cell
# crystal system = tetragonal

=====

No. 2
# NaSrOF2, optimized geometry, DFT PBE
data_NaSrOF2
_chemical_formula_sum 'Na1 Sr1 O1 F2'
_cell_length_a 4.1494
_cell_length_b 4.1494
_cell_length_c 4.3084
_cell_angle_alpha 90.00
_cell_angle_beta 90.00
_cell_angle_gamma 90.00
_space_group_name_H-M_alt 'P 4/m m m'
_space_group_IT_number 123
_space_group_name_Hall '-P 4 2'
loop_
_atom_site_label
_atom_site_type_symbol
_atom_site_fract_x
_atom_site_fract_y
_atom_site_fract_z
Na1 Na 0.0000 0.0000 0.0000
Sr1 Sr 0.5000 0.5000 0.5000
O1 O 0.0000 0.0000 0.5000
F1 F 0.0000 0.5000 0.0000
# total DFT energy (no corrections) = -4.6907 eV/atom
# DOS(E_F) = 0.0 states/eV per cell
# total magnetization = 1.0 μB/cell
# crystal system = tetragonal

=====

No. 3
# NaSrO2F, optimized geometry, DFT PBE
data_NaSrO2F
_chemical_formula_sum 'Na1 Sr1 O2 F1'
_cell_length_a 4.6968
_cell_length_b 4.6968
_cell_length_c 4.7501
_cell_angle_alpha 90.00
_cell_angle_beta 90.00
_cell_angle_gamma 90.00
_space_group_name_H-M_alt 'P 4/m m m'
_space_group_IT_number 123
_space_group_name_Hall '-P 4 2'
loop_
_atom_site_label
_atom_site_type_symbol
_atom_site_fract_x
_atom_site_fract_y
_atom_site_fract_z
Na1 Na 0.0000 0.0000 0.0000
Sr1 Sr 0.5000 0.5000 0.5000
O1 O 0.0000 0.5000 0.5000
F1 F 0.5000 0.5000 0.0000
# total DFT energy (no corrections) = -4.4704 eV/atom
# DOS(E_F) = 5.3 states/eV per cell
# total magnetization = 2.0 μB/cell
# crystal system = tetragonal